# 1
The following is a DFT calculation (PBE-GGA) of crystalline TmLuZn2Sn2 at its relaxed geometry.

Structure (POSCAR):
```
TmLuZn2Sn2
1.0
4.4759 0.0000 0.0000
-2.2380 3.8763 0.0000
0.0000 0.0000 15.5180
Tm Lu Zn Sn
2 2 4 4
Cartesian
0.0000 0.0000 3.8795 Tm
0.0000 0.0000 11.6385 Tm
0.0000 0.0000 0.0000 Lu
0.0000 0.0000 7.7590 Lu
0.0000 2.5842 2.5080 Zn
0.0000 2.5842 5.2510 Zn
2.2380 1.2921 10.2670 Zn
2.2380 1.2921 13.0100 Zn
0.0000 2.5842 9.4877 Sn
0.0000 2.5842 13.7893 Sn
2.2380 1.2921 1.7287 Sn
2.2380 1.2921 6.0303 Sn
```

Output
Offset from the most stable computed form = 0.06 kcal/mol of atoms


# 2
The following is a DFT calculation (PBE-GGA) of crystalline Tb2YIn3AgPt2 at its relaxed geometry.

Structure (POSCAR):
```
Tb2YIn3AgPt2
1.0
3.7822 0.0000 0.0000
0.0000 6.7919 3.9159
0.0000 -6.7919 3.9159
Tb Y In Ag Pt
2 1 3 1 2
Cartesian
0.0000 -4.0122 3.9159 Tb
0.0000 4.0122 3.9159 Tb
0.0000 0.0000 3.0274 Y
1.8911 0.0000 0.5037 In
1.8911 -1.8239 5.1761 In
1.8911 1.8239 5.1761 In
0.0000 0.0000 6.2292 Ag
1.8911 -2.2671 2.3114 Pt
1.8911 2.2671 2.3114 Pt
```


# 3
The following is a DFT calculation (PBE-GGA) of crystalline Ba2Hg2Pb at its relaxed geometry.

Structure (POSCAR):
```
Ba2Hg2Pb
1.0
-2.2970 2.2970 8.7348
2.2970 -2.2970 8.7348
2.2970 2.2970 -8.7348
Ba Hg Pb
2 2 1
Cartesian
0.0000 0.0000 1.8187 Ba
0.0000 0.0000 15.6508 Ba
2.2970 0.0000 4.3674 Hg
0.0000 2.2970 4.3674 Hg
0.0000 0.0000 8.7348 Pb
```


# 4
The following is a DFT calculation (PBE-GGA) of crystalline Cs2GeAuBr6 at its relaxed geometry.

Structure (POSCAR):
```
Cs2GeAuBr6
1.0
0.0000 5.5030 5.5030
5.5030 0.0000 5.5030
5.5030 5.5030 0.0000
Cs Ge Au Br
2 1 1 6
Cartesian
2.7515 2.7515 2.7515 Cs
8.2545 8.2545 8.2545 Cs
0.0000 0.0000 0.0000 Ge
5.5030 5.5030 5.5030 Au
5.5030 5.5030 2.7026 Br
5.5030 2.7026 5.5030 Br
8.3034 5.5030 5.5030 Br
2.7026 5.5030 5.5030 Br
5.5030 8.3034 5.5030 Br
5.5030 5.5030 8.3034 Br
```


# 5
The following is a DFT calculation (PBE-GGA) of crystalline Hf2ScTe at its relaxed geometry.

Structure (POSCAR):
```
Hf2ScTe
1.0
0.0000 3.5167 3.5167
3.5167 0.0000 3.5167
3.5167 3.5167 0.0000
Hf Sc Te
2 1 1
Cartesian
0.0000 0.0000 0.0000 Hf
1.7584 1.7584 1.7584 Hf
3.5167 3.5167 3.5167 Sc
5.2751 5.2751 5.2751 Te
```


# 6
The following is a DFT calculation (PBE-GGA) of crystalline Cd2TcW at its relaxed geometry.

Structure (POSCAR):
```
Cd2TcW
1.0
0.0000 3.2583 3.2583
3.2583 0.0000 3.2583
3.2583 3.2583 0.0000
Cd Tc W
2 1 1
Cartesian
0.0000 0.0000 0.0000 Cd
1.6292 1.6292 1.6292 Cd
3.2583 3.2583 3.2583 Tc
4.8875 4.8875 4.8875 W
```

Output
ΔH_f (0 K) = 607 meV/atom


# 7
The following is a DFT calculation (PBE-GGA) of crystalline Lu4SnHgC2 at its relaxed geometry.

Structure (POSCAR):
```
Lu4SnHgC2
1.0
3.5274 0.0000 0.0000
-1.7637 3.0549 0.0000
0.0000 0.0000 15.3630
Lu Sn Hg C
4 1 1 2
Cartesian
0.0000 0.0000 2.5093 Lu
0.0000 0.0000 12.8538 Lu
1.7637 1.0183 5.1027 Lu
1.7637 1.0183 10.2603 Lu
0.0000 0.0000 7.6815 Sn
1.7637 1.0183 0.0000 Hg
0.0000 2.0366 3.8140 C
0.0000 2.0366 11.5490 C
```


# 8
The following is a DFT calculation (PBE-GGA) of crystalline Pr3NdHo2PdSe2 at its relaxed geometry.

Structure (POSCAR):
```
Pr3NdHo2PdSe2
1.0
3.9799 0.0000 0.0000
0.0000 7.2575 4.1581
0.0000 -7.2575 4.1581
Pr Nd Ho Pd Se
3 1 2 1 2
Cartesian
0.0000 0.0000 0.0000 Pr
0.0000 -3.0056 3.1278 Pr
0.0000 3.0056 3.1278 Pr
1.9900 0.0000 2.7601 Nd
1.9900 -1.8027 5.8882 Ho
1.9900 1.8027 5.8882 Ho
0.0000 0.0000 4.9800 Pd
1.9900 -4.7973 4.8305 Se
1.9900 4.7973 4.8305 Se
```


# 9
The following is a DFT calculation (PBE-GGA) of crystalline ScCoSn2 at its relaxed geometry.

Structure (POSCAR):
```
ScCoSn2
1.0
0.0000 3.4063 3.4063
3.4063 0.0000 3.4063
3.4063 3.4063 0.0000
Sc Co Sn
1 1 2
Cartesian
0.0000 0.0000 0.0000 Sc
1.7031 1.7031 1.7031 Co
3.4063 3.4063 3.4063 Sn
5.1094 5.1094 5.1094 Sn
```


# 10
The following is a DFT calculation (PBE-GGA) of crystalline AgAs5W3 at its relaxed geometry.

Structure (POSCAR):
```
AgAs5W3
1.0
5.3764 0.0000 0.0000
-2.6882 4.6561 0.0000
0.0000 0.0000 7.6795
Ag As W
1 5 3
Cartesian
0.0000 0.0000 0.0000 Ag
0.0000 0.0000 3.8397 As
0.0000 3.1041 1.6618 As
0.0000 3.1041 6.0177 As
2.6882 1.5520 1.6618 As
2.6882 1.5520 6.0177 As
-1.3441 2.3280 3.8397 W
2.6882 0.0000 3.8397 W
1.3441 2.3280 3.8397 W
```


# 11
The following is a DFT calculation (PBE-GGA) of crystalline CdGeSO at its relaxed geometry.

Structure (POSCAR):
```
CdGeSO
1.0
7.6596 0.0000 0.0000
0.0000 6.9681 0.0000
0.0000 0.0000 5.8593
Cd Ge S O
4 4 4 4
Cartesian
0.8998 0.8060 0.0000 Cd
2.9300 0.8060 2.9296 Cd
4.7296 6.1621 0.0000 Cd
6.7597 6.1621 2.9296 Cd
0.6350 4.8924 0.3057 Ge
3.1948 4.8924 3.2353 Ge
4.4648 2.0756 0.3057 Ge
7.0245 2.0756 3.2353 Ge
0.3285 4.1649 3.8909 S
3.5012 4.1649 0.9613 S
4.1583 2.8032 3.8909 S
7.3310 2.8032 0.9613 S
0.7949 0.8215 3.5820 O
3.0349 0.8215 0.6523 O
4.6247 6.1466 3.5820 O
6.8647 6.1466 0.6523 O
```

Output
Offset from the most stable computed form = 3.73 kcal/mol of atoms


# 12
The following is a DFT calculation (PBE-GGA) of crystalline LaTbSi4Ni2 at its relaxed geometry.

Structure (POSCAR):
```
LaTbSi4Ni2
1.0
4.1322 0.0000 0.0000
0.0000 4.0453 0.0000
-2.0544 0.0000 8.1945
La Tb Si Ni
1 1 4 2
Cartesian
0.0000 0.0000 0.0000 La
2.0709 2.0227 4.7031 Tb
-0.0011 2.0227 2.3958 Si
0.0033 0.0000 5.7649 Si
0.0105 2.0227 7.0839 Si
2.0820 0.0000 2.4052 Si
0.0149 0.0000 3.5165 Ni
2.0654 2.0227 1.2435 Ni
```


no.,E_tot (eV per atom)
1,-3.76
2,-5.15
3,-1.98
4,-2.92
5,-7.31
6,-5.67
7,-5.63
8,-5.41
9,-5.33
10,-6.90
11,-4.26
12,-6.12